# BaMgZn2, optimized geometry, DFT PBEsol
data_BaMgZn2
_chemical_formula_sum 'Ba2 Mg2 Zn4'
_symmetry_space_group_name_H-M 'C 1 m 1'
_symmetry_Int_Tables_number 8
_cell_length_a 7.716
_cell_length_b 4.456
_cell_length_c 6.711
_cell_angle_alpha 90.00
_cell_angle_beta 112.71
_cell_angle_gamma 90.00
loop_
_symmetry_equiv_pos_as_xyz
'x,y,z'
'x,-y,z'
'x+1/2,y+1/2,z'
'x+1/2,-y+1/2,z'
loop_
_atom_site_label
_atom_site_type_symbol
_atom_site_fract_x
_atom_site_fract_y
_atom_site_fract_z
Ba1 Ba 0.000 0.000 0.000
Mg1 Mg 0.190 0.000 0.569
Zn1 Zn 0.298 0.500 0.394
Zn2 Zn 0.468 0.000 0.405
# **Final energy**: -1.8781 eV/atom
# **ρ**: 4.6 g/cm³
# **Total moment**: 0.00 μB per cell
# **Energy of formation**: -121 meV per atom

---

# BaMgZn, optimized geometry, DFT PBEsol
data_BaMgZn
_chemical_formula_sum 'Ba1 Mg1 Zn1'
_symmetry_space_group_name_H-M 'P -6 m 2'
_symmetry_Int_Tables_number 187
_symmetry_space_group_name_Hall 'P -6 2'
_cell_length_a 5.0401
_cell_length_b 5.0401
_cell_length_c 4.1515
_cell_angle_alpha 90.00
_cell_angle_beta 90.00
_cell_angle_gamma 120.00
loop_
_atom_site_label
_atom_site_type_symbol
_atom_site_fract_x
_atom_site_fract_y
_atom_site_fract_z
Ba1 Ba 0.0000 0.0000 0.0000
Mg1 Mg 0.6667 0.3333 0.5000
Zn1 Zn 0.3333 0.6667 0.5000
# **Final energy**: -1.8639 eV/atom
# **ρ**: 4.1 g/cm³
# **Total moment**: 0.00 μB per cell
# **Energy of formation**: -48 meV per atom

---

# Ba2MgZn, optimized geometry, DFT PBEsol
data_Ba2MgZn
_chemical_formula_sum 'Ba4 Mg2 Zn2'
_symmetry_space_group_name_H-M 'I m m 2'
_symmetry_Int_Tables_number 44
_cell_length_a 3.936
_cell_length_b 5.896
_cell_length_c 11.888
_cell_angle_alpha 90.00
_cell_angle_beta 90.00
_cell_angle_gamma 90.00
loop_
_symmetry_equiv_pos_as_xyz
'x,y,z'
'-x,-y,z'
'-x,y,z'
'x,-y,z'
'x+1/2,y+1/2,z+1/2'
'-x+1/2,-y+1/2,z+1/2'
'-x+1/2,y+1/2,z+1/2'
'x+1/2,-y+1/2,z+1/2'
loop_
_atom_site_label
_atom_site_type_symbol
_atom_site_fract_x
_atom_site_fract_y
_atom_site_fract_z
Ba1 Ba 0.000 0.000 0.000
Ba2 Ba 0.000 0.500 0.189
Mg1 Mg 0.000 0.500 0.787
Zn1 Zn 0.000 0.000 0.453
# **Final energy**: -1.9605 eV/atom
# **ρ**: 4.4 g/cm³
# **Total moment**: 0.00 μB per cell
# **Energy of formation**: -61 meV per atom

---

# Ba3MgZn, optimized geometry, DFT PBEsol
data_Ba3MgZn
_chemical_formula_sum 'Ba3 Mg1 Zn1'
_symmetry_space_group_name_H-M 'P m -3 m'
_symmetry_Int_Tables_number 221
_symmetry_space_group_name_Hall '-P 4 2 3'
_cell_length_a 6.289
_cell_length_b 6.289
_cell_length_c 6.289
_cell_angle_alpha 90.00
_cell_angle_beta 90.00
_cell_angle_gamma 90.00
loop_
_atom_site_label
_atom_site_type_symbol
_atom_site_fract_x
_atom_site_fract_y
_atom_site_fract_z
Ba1 Ba 0.000 0.000 0.500
Mg1 Mg 0.500 0.500 0.500
Zn1 Zn 0.000 0.000 0.000
# **Final energy**: -1.7812 eV/atom
# **ρ**: 3.3 g/cm³
# **Total moment**: 1.13 μB per cell
# **Energy of formation**: 168 meV per atom

---

# Ba2MgZn, optimized geometry, DFT PBEsol
data_Ba2MgZn
_chemical_formula_sum 'Ba2 Mg1 Zn1'
_symmetry_space_group_name_H-M 'P 4/m m m'
_symmetry_Int_Tables_number 123
_symmetry_space_group_name_Hall '-P 4 2'
_cell_length_a 4.103
_cell_length_b 4.103
_cell_length_c 8.459
_cell_angle_alpha 90.00
_cell_angle_beta 90.00
_cell_angle_gamma 90.00
loop_
_atom_site_label
_atom_site_type_symbol
_atom_site_fract_x
_atom_site_fract_y
_atom_site_fract_z
Ba1 Ba 0.000 0.000 0.226
Mg1 Mg 0.500 0.500 0.500
Zn1 Zn 0.500 0.500 0.000
# **Final energy**: -1.9903 eV/atom
# **ρ**: 4.2 g/cm³
# **Total moment**: 0.00 μB per cell
# **Energy of formation**: -91 meV per atom

---

# BaMg2Zn2, optimized geometry, DFT PBEsol
data_BaMg2Zn2
_chemical_formula_sum 'Ba2 Mg4 Zn4'
_symmetry_space_group_name_H-M 'I 4/m m m'
_symmetry_Int_Tables_number 139
_symmetry_space_group_name_Hall '-I 4 2'
_cell_length_a 4.548
_cell_length_b 4.548
_cell_length_c 12.211
_cell_angle_alpha 90.00
_cell_angle_beta 90.00
_cell_angle_gamma 90.00
loop_
_atom_site_label
_atom_site_type_symbol
_atom_site_fract_x
_atom_site_fract_y
_atom_site_fract_z
Ba1 Ba 0.000 0.000 0.000
Mg1 Mg 0.000 0.500 0.250
Zn1 Zn 0.000 0.000 0.392
# **Final energy**: -1.8768 eV/atom
# **ρ**: 4.2 g/cm³
# **Total moment**: 0.00 μB per cell
# **Energy of formation**: -127 meV per atom